The following is a DFT calculation (GGA-PBE) of a relaxed structure of ThPaBe.

```
data_ThPaBe
_space_group_name_H-M_alt 'F -4 3 m'
_space_group_IT_number 216
_space_group_name_Hall 'F -4 2 3'
_cell_length_a 6.565
_cell_length_b 6.565
_cell_length_c 6.565
_cell_angle_alpha 90.00
_cell_angle_beta 90.00
_cell_angle_gamma 90.00
loop_
_atom_site_label
_atom_site_fract_x
_atom_site_fract_y
_atom_site_fract_z
Th1 0.000 0.000 0.000
Pa1 0.000 0.000 0.500
Be1 0.250 0.250 0.750
```

Computed properties:
The polymorph energy (0 for the lowest one) is 0.00 eV per formula unit. Its volume is 23.58 A^3/atom. For the final energy, the calculation gives -6.479 eV/atom.